Sm3ZnRu: optimized geometry, PBE-GGA.

Cell: 5.886 5.886 8.554 Å, 102.15 102.15 112.85°
Fractional coordinates of all 10 atoms:
Ru  0.750  0.750  0.000
Sm  0.081  0.208  0.289
Sm  0.304  0.804  0.108
Ru  0.250  0.250  0.000
Sm  0.292  0.419  0.711
Zn  0.308  0.808  0.500
Sm  0.708  0.581  0.289
Sm  0.919  0.792  0.711
Sm  0.696  0.196  0.892
Zn  0.692  0.192  0.500

Output
As for the space-group type: No. 69. The calculation puts the energy above the most stable polymorph in this dataset at 0.0000 eV per atom. The density comes out at 8.1 g/cm³. As for the energy relative to the elements: -0.273 eV/atom.

=====

Sm2Zn3Ru2: optimized geometry, PBE-GGA.

Cell: 4.414 5.587 6.379 Å, 105.66 90.00 113.26°
Fractional coordinates of all 7 atoms:
Ru  0.911  0.823  0.325
Zn  0.707  0.414  0.878
Zn  0.293  0.586  0.122
Sm  0.380  0.760  0.658
Sm  0.620  0.240  0.342
Ru  0.089  0.177  0.675
Zn  0.000  0.000  0.000

Output
As for the space-group type: No. 12. The density comes out at 8.4 g/cm³. As for the energy relative to the elements: -0.260 eV/atom.

=====

Sm3Zn8Ru3: optimized geometry, PBE-GGA.

Cell: 4.324 8.170 8.170 Å, 68.63 74.66 74.66°
Fractional coordinates of all 14 atoms:
Zn  0.372  0.347  0.909
Ru  0.000  0.828  0.172
Ru  0.500  0.000  0.000
Zn  0.154  0.204  0.488
Zn  0.846  0.512  0.796
Zn  0.846  0.796  0.512
Zn  0.154  0.488  0.204
Sm  0.196  0.804  0.804
Sm  0.804  0.196  0.196
Zn  0.628  0.653  0.091
Sm  0.500  0.500  0.500
Ru  0.000  0.172  0.828
Zn  0.372  0.909  0.347
Zn  0.628  0.091  0.653

Output
As for the space-group type: No. 71. The density comes out at 8.3 g/cm³. As for the energy relative to the elements: -0.280 eV/atom.

=====

SmZrRu2: optimized geometry, PBE-GGA.

Cell: 3.348 3.348 6.847 Å, 90.00 90.00 90.00°
Fractional coordinates of all 4 atoms:
Zr  0.500  0.500  0.000
Ru  0.000  0.000  0.773
Ru  0.000  0.000  0.227
Sm  0.500  0.500  0.500

Output
As for the space-group type: No. 123. The density comes out at 9.6 g/cm³. As for the energy relative to the elements: -0.412 eV/atom.

=====

SmZr2Ru: optimized geometry, PBE-GGA.

Cell: 3.325 3.325 8.065 Å, 90.00 90.00 90.00°
Fractional coordinates of all 4 atoms:
Ru  0.500  0.500  0.000
Zr  0.000  0.000  0.804
Sm  0.500  0.500  0.500
Zr  0.000  0.000  0.196

Output
As for the space-group type: No. 123. The calculation puts the energy above the most stable polymorph in this dataset at 0.0000 eV per atom. The density comes out at 8.1 g/cm³. As for the energy relative to the elements: -0.175 eV/atom.

=====

SmZr3Ru4: optimized geometry, PBE-GGA.

Cell: 4.686 4.686 8.202 Å, 73.40 73.40 60.00°
Fractional coordinates of all 8 atoms:
Zr  0.500  0.500  0.500
Ru  0.872  0.872  0.385
Zr  0.752  0.752  0.743
Zr  0.248  0.248  0.257
Sm  0.000  0.000  0.000
Ru  0.380  0.380  0.861
Ru  0.620  0.620  0.139
Ru  0.128  0.128  0.615

Output
As for the space-group type: No. 166. The density comes out at 9.3 g/cm³. As for the energy relative to the elements: -0.514 eV/atom.

=====

SmZr2Ru: optimized geometry, PBE-GGA.

Cell: 3.286 3.286 10.386 Å, 80.90 80.90 60.00°
Fractional coordinates of all 4 atoms:
Ru  0.500  0.500  0.500
Sm  0.000  0.000  0.000
Zr  0.896  0.896  0.313
Zr  0.104  0.104  0.687

Output
As for the space-group type: No. 166. The calculation puts the energy above the most stable polymorph in this dataset at 0.3179 eV per atom. The density comes out at 7.5 g/cm³. As for the energy relative to the elements: 0.143 eV/atom.

=====

SmZrRu: optimized geometry, PBE-GGA.

Cell: 3.377 3.377 6.374 Å, 105.36 105.36 90.00°
Fractional coordinates of all 3 atoms:
Sm  0.017  0.017  0.034
Zr  0.301  0.301  0.601
Ru  0.683  0.683  0.365

Output
As for the space-group type: No. 107. The density comes out at 8.4 g/cm³. As for the energy relative to the elements: -0.198 eV/atom.

=====

SnRu: optimized geometry, PBE-GGA.

Cell: 5.365 5.365 5.365 Å, 90.00 90.00 90.00°
Fractional coordinates of all 8 atoms:
Sn  0.500  0.000  0.000
Sn  0.000  0.000  0.500
Sn  0.500  0.500  0.500
Ru  0.500  0.000  0.500
Ru  0.500  0.500  0.000
Ru  0.000  0.000  0.000
Sn  0.000  0.500  0.000
Ru  0.000  0.500  0.500

Output
As for the space-group type: No. 225. The density comes out at 9.5 g/cm³. As for the energy relative to the elements: 0.358 eV/atom.

=====

SnRu: optimized geometry, PBE-GGA.

Cell: 7.278 7.278 7.278 Å, 90.00 90.00 90.00°
Fractional coordinates of all 12 atoms:
Sn  0.000  0.750  0.500
Sn  0.500  0.000  0.750
Sn  0.750  0.500  0.000
Sn  0.000  0.250  0.500
Ru  0.750  0.000  0.500
Ru  0.500  0.750  0.000
Ru  0.000  0.500  0.250
Ru  0.000  0.500  0.750
Sn  0.500  0.000  0.250
Ru  0.250  0.000  0.500
Sn  0.250  0.500  0.000
Ru  0.500  0.250  0.000

Output
As for the space-group type: No. 223. The density comes out at 5.7 g/cm³. As for the energy relative to the elements: 0.963 eV/atom.